Record 1
Density functional theory data (GGA-PBE) for an optimized crystal structure of CaLa2Cu.

Cell lengths 6.7471, 6.7471, 5.6827 Å; angles 65.11, 65.11, 32.40 degrees
Sites, in units of the cell vectors:
La  0.9476  0.9476  0.0548
La  0.7511  0.7511  0.7508
Cu  0.2503  0.2503  0.2429
Ca  0.5510  0.5510  0.4516

Calculated values
offset from the most stable computed form: 68.8 meV per atom
total energy: -3.95 eV/atom
ΔE_f: 0.0379 eV per atom

Record 2
Density functional theory data (GGA-PBE) for an optimized crystal structure of LiPrYHo.

Cell lengths 5.5560, 5.5560, 5.5560 Å; angles 60.00, 60.00, 60.00 degrees
Sites, in units of the cell vectors:
Y  0.5000  0.5000  0.5000
Li  0.7500  0.7500  0.7500
Ho  0.2500  0.2500  0.2500
Pr  0.0000  0.0000  0.0000

Calculated values
total energy: -4.27 eV/atom
ΔE_f: 0.1640 eV per atom

Record 3
Density functional theory data (GGA-PBE) for an optimized crystal structure of Er2Al6Au21.

Cell lengths 9.1731, 9.1732, 9.1732 Å; angles 60.00, 60.00, 60.00 degrees
Sites, in units of the cell vectors:
Er  0.7500  0.7500  0.7500
Er  0.2500  0.2500  0.2500
Au  0.6568  0.3432  0.0000
Au  0.0000  0.3432  0.0000
Au  0.3432  0.0000  0.0000
Au  0.0000  0.0000  0.6568
Au  0.6205  0.6205  0.6205
Au  0.6205  0.6205  0.1385
Au  0.6205  0.1385  0.6205
Au  0.0000  0.6568  0.3432
Au  0.6568  0.0000  0.0000
Au  0.3795  0.3795  0.8615
Au  0.3795  0.8615  0.3795
Au  0.0000  0.0000  0.3432
Au  0.3432  0.0000  0.6568
Au  0.1385  0.6205  0.6205
Au  0.0000  0.3432  0.6568
Au  0.3795  0.3795  0.3795
Au  0.8615  0.3795  0.3795
Au  0.0000  0.0000  0.0000
Au  0.0000  0.6568  0.0000
Au  0.6568  0.0000  0.3432
Au  0.3432  0.6568  0.0000
Al  0.7299  0.7299  0.2701
Al  0.2701  0.7299  0.2701
Al  0.7299  0.2701  0.7299
Al  0.2701  0.2701  0.7299
Al  0.2701  0.7299  0.7299
Al  0.7299  0.2701  0.2701

Calculated values
total energy: -3.74 eV/atom
ΔE_f: -0.2733 eV per atom

Record 4
Density functional theory data (GGA-PBE) for an optimized crystal structure of SmSn4.

Cell lengths 4.6704, 6.4886, 9.8860 Å; angles 109.16, 103.66, 90.00 degrees
Sites, in units of the cell vectors:
Sn  0.5000  0.0000  0.0000
Sn  0.3073  0.7980  0.6146
Sn  0.6927  0.2020  0.3854
Sn  0.0976  0.3476  0.1951
Sn  0.6927  0.6834  0.3854
Sn  0.3073  0.3166  0.6146
Sn  0.5000  0.5000  0.0000
Sn  0.9024  0.6524  0.8049
Sm  0.9086  0.1586  0.8172
Sm  0.0914  0.8414  0.1828

Calculated values
offset from the most stable computed form: 0.0 meV per atom
total energy: -4.49 eV/atom
ΔE_f: -0.3466 eV per atom

Record 5
Density functional theory data (GGA-PBE) for an optimized crystal structure of RbCeGeS4.

Cell lengths 6.6778, 6.7438, 9.1739 Å; angles 90.00, 107.45, 90.00 degrees
Sites, in units of the cell vectors:
Ge  0.2194  0.7500  0.3259
Ge  0.7806  0.2500  0.6741
S  0.9971  0.4941  0.2908
S  0.0029  0.9941  0.7092
S  0.5834  0.2500  0.4303
S  0.4185  0.7500  0.1726
S  0.4166  0.7500  0.5697
S  0.9971  0.0059  0.2908
S  0.5815  0.2500  0.8274
S  0.0029  0.5059  0.7092
Rb  0.2676  0.2500  0.0639
Rb  0.7324  0.7500  0.9361
Ce  0.2316  0.2500  0.5515
Ce  0.7684  0.7500  0.4485

Calculated values
total energy: -5.23 eV/atom
formation energy from raw total energies: -1.2232 eV per atom

Record 6
Density functional theory data (GGA-PBE) for an optimized crystal structure of VSnTe2Br.

Cell lengths 5.4320, 4.9206, 5.4320 Å; angles 90.00, 90.00, 90.00 degrees
Sites, in units of the cell vectors:
Sn  0.5000  0.5000  0.5000
V  0.0000  0.0000  0.0000
Br  0.0000  0.5000  0.0000
Te  0.0000  0.0000  0.5000
Te  0.5000  0.0000  0.0000

Calculated values
total energy: -4.28 eV/atom
formation energy from raw total energies: -0.0672 eV per atom

Computed values of calculated density (unit: g cm⁻³) for the preceding records, in sequence: 5.1, 5.5, 14.1, 7.6, 3.6, 5.8.